#P
A relaxed LaRe2Au crystal, computed with PBE.

Summary:
The space group is Fm-3m, No. 225.

Lattice parameters (Å, degrees): 4.7253 4.7253 4.7253 60.00 60.00 60.00
Closest atoms and distances in Å follow each position.
Element x y z (fractional)
1 Re 0.2500 0.2500 0.2500  4 La 2.89, 4 Au 2.89
2 Re 0.7500 0.7500 0.7500  4 La 2.89, 4 Au 2.89
3 Au 0.5000 0.5000 0.5000  8 Re 2.89
4 La 0.0000 0.0000 0.0000  8 Re 2.89

#Q
A relaxed LaRe2Au crystal, computed with PBE.

Summary:
The space group is R-3m, No. 166.

Lattice parameters (Å, degrees): 10.4788 10.4788 10.4788 15.80 15.80 15.80
Closest atoms and distances in Å follow each position.
Element x y z (fractional)
1 Au 0.2500 0.2500 0.2500  6 Re 2.85, 6 Au 2.88
2 La 0.7500 0.7500 0.7500  6 La 2.88
3 Re 0.9914 0.9914 0.9914  3 Au 2.85, 6 Re 2.88
4 Re 0.5086 0.5086 0.5086  3 Au 2.85, 6 Re 2.88

#R
A relaxed LaRe2Au crystal, computed with PBE.

Summary:
The space group is Cmm2, No. 35.

Lattice parameters (Å, degrees): 2.8763 2.8763 9.8507 90.00 90.00 112.77
Closest atoms and distances in Å follow each position.
Element x y z (fractional)
1 Au 0.0000 0.0000 0.4762  6 Au 2.88-3.18, 2 Re 2.88
2 La 0.5000 0.5000 0.7630  6 La 2.88-3.18, 2 Re 3.06
3 Re 0.0000 0.0000 0.0286  2 Re 2.56
4 Re 0.5000 0.5000 0.2322  2 Re 2.56

#S
A relaxed LaRe2Au crystal, computed with PBE.

Summary:
The space group is P4/mmm, No. 123.

Lattice parameters (Å, degrees): 4.6725 4.0874 4.0874 90.00 90.00 90.00
Closest atoms and distances in Å follow each position.
Element x y z (fractional)
1 Au 0.5000 0.5000 0.0000  4 La 2.89, 8 Re 3.10
2 La 0.5000 0.0000 0.5000  4 Au 2.89, 8 Re 3.10
3 Re 0.0000 0.0000 0.0000  4 Re 2.89, 4 Au 3.10, 4 La 3.10
4 Re 0.0000 0.5000 0.5000  4 Re 2.89, 4 Au 3.10, 4 La 3.10

Stability check: which of them is most stable? #R.

#P
A relaxed La3RhAu crystal, computed with PBE.

Summary:
The space group is Pm-3m, No. 221.

Lattice parameters (Å, degrees): 5.5015 5.5015 5.5015 90.00 90.00 90.00
Closest atoms and distances in Å follow each position.
Element x y z (fractional)
1 Rh 0.0000 0.0000 0.0000  6 La 2.75
2 Au 0.5000 0.5000 0.5000  12 La 3.89
3 La 0.0000 0.5000 0.0000  2 Rh 2.75
4 La 0.0000 0.0000 0.5000  2 Rh 2.75
5 La 0.5000 0.0000 0.0000  2 Rh 2.75

#Q
A relaxed La3RhAu crystal, computed with PBE.

Summary:
The space group is P-1, No. 2.

Lattice parameters (Å, degrees): 6.0059 6.8380 8.8759 118.18 78.66 115.08
Closest atoms and distances in Å follow each position.
Element x y z (fractional)
1 La 0.4495 0.7993 0.1454  3 Rh 2.95-3.20, 2 Au 3.16-3.24
2 La 0.1830 0.3762 0.6678  1 Rh 2.83
3 La 0.8835 0.7993 0.7724  2 Rh 2.79-2.86
4 La 0.1165 0.2007 0.2276  2 Rh 2.79-2.86
5 La 0.5505 0.2007 0.8546  3 Rh 2.95-3.20, 2 Au 3.16-3.24
6 La 0.8170 0.6238 0.3322  1 Rh 2.83
7 Rh 0.9200 0.6906 0.0306  5 La 2.79-3.08, 1 Rh 2.93
8 Rh 0.0800 0.3094 0.9694  5 La 2.79-3.08, 1 Rh 2.93
9 Au 0.6609 0.2462 0.4977  1 Au 3.11, 7 La 3.16-3.34
10 Au 0.3391 0.7538 0.5023  1 Au 3.11, 7 La 3.16-3.34

Stability check: which of them is most stable? #Q.

#P
A relaxed La4RhAu crystal, computed with PBE.

Summary:
The space group is C2/c, No. 15.

Lattice parameters (Å, degrees): 7.1544 7.4781 8.8100 109.77 108.42 102.25
Closest atoms and distances in Å follow each position.
Element x y z (fractional)
1 La 0.2851 0.9540 0.5680  1 Rh 2.79, 1 Au 3.09
2 La 0.0340 0.7901 0.0739  2 Rh 2.90-2.93, 1 Au 3.14
3 La 0.2171 0.3860 0.4320  1 Rh 2.79, 1 Au 3.09
4 La 0.4601 0.7162 0.9261  2 Rh 2.90-2.93, 1 Au 3.14
5 La 0.7149 0.0460 0.4320  1 Rh 2.79, 1 Au 3.09
6 La 0.7829 0.6140 0.5680  1 Rh 2.79, 1 Au 3.09
7 La 0.9660 0.2099 0.9261  2 Rh 2.90-2.93, 1 Au 3.14
8 La 0.5399 0.2838 0.0739  2 Rh 2.90-2.93, 1 Au 3.14
9 Rh 0.8345 0.0845 0.1690  6 La 2.79-2.93
10 Rh 0.1655 0.9155 0.8310  6 La 2.79-2.93
11 Au 0.3691 0.6191 0.2382  8 La 3.09-3.45
12 Au 0.6309 0.3809 0.7618  8 La 3.09-3.45

#Q
A relaxed La4RhAu crystal, computed with PBE.

Summary:
The space group is P4/mcc, No. 124.

Lattice parameters (Å, degrees): 6.6466 7.3137 7.3137 90.00 90.00 90.00
Closest atoms and distances in Å follow each position.
Element x y z (fractional)
1 La 0.0000 0.1880 0.6688  2 Rh 3.08, 2 Au 3.24
2 La 0.0000 0.8120 0.3312  2 Rh 3.08, 2 Au 3.24
3 La 0.0000 0.3312 0.1880  2 Rh 3.08, 2 Au 3.24
4 La 0.0000 0.6688 0.8120  2 Rh 3.08, 2 Au 3.24
5 La 0.5000 0.8120 0.6688  2 Rh 3.08, 2 Au 3.24
6 La 0.5000 0.1880 0.3312  2 Rh 3.08, 2 Au 3.24
7 La 0.5000 0.6688 0.1880  2 Rh 3.08, 2 Au 3.24
8 La 0.5000 0.3312 0.8120  2 Rh 3.08, 2 Au 3.24
9 Rh 0.2500 0.5000 0.5000  8 La 3.08, 2 Rh 3.32
10 Rh 0.7500 0.5000 0.5000  8 La 3.08, 2 Rh 3.32
11 Au 0.2500 0.0000 0.0000  8 La 3.24, 2 Au 3.32
12 Au 0.7500 0.0000 0.0000  8 La 3.24, 2 Au 3.32

#R
A relaxed La4RhAu crystal, computed with PBE.

Summary:
The space group is F-43m, No. 216.

Lattice parameters (Å, degrees): 6.2025 6.2025 6.2025 60.00 60.00 60.00
Closest atoms and distances in Å follow each position.
Element x y z (fractional)
1 La 0.3757 0.8729 0.3757  6 La 3.08-3.12
2 La 0.8729 0.3757 0.3757  6 La 3.08-3.12
3 La 0.3757 0.3757 0.8729  6 La 3.08-3.12
4 La 0.3757 0.3757 0.3757  6 La 3.08-3.12
5 Rh 0.7500 0.7500 0.7500  12 La 3.63, 4 Au 3.80
6 Au 0.0000 0.0000 0.0000  12 La 3.64, 4 Rh 3.80

Stability check: which of them is most stable? #Q.

#P
A relaxed LaRh2Au2 crystal, computed with PBE.

Summary:
The space group is I4/mmm, No. 139.

Lattice parameters (Å, degrees): 4.0831 4.0831 6.8059 72.54 72.54 90.00
Closest atoms and distances in Å follow each position.
Element x y z (fractional)
1 Rh 0.4008 0.4008 0.1983  1 Rh 2.44
2 Rh 0.5992 0.5992 0.8017  1 Rh 2.44
3 Au 0.7500 0.2500 0.5000  4 Rh 2.76, 4 Au 2.89
4 Au 0.2500 0.7500 0.5000  4 Rh 2.76, 4 Au 2.89
5 La 0.0000 0.0000 0.0000  8 Rh 3.14

#Q
A relaxed LaRh2Au2 crystal, computed with PBE.

Summary:
The space group is P4/mbm, No. 127.

Lattice parameters (Å, degrees): 7.3222 7.3222 3.6094 90.00 90.00 90.00
Closest atoms and distances in Å follow each position.
Element x y z (fractional)
1 Rh 0.3648 0.8648 0.0000  6 Au 2.78-2.82, 1 Rh 2.80, 2 La 2.85
2 Rh 0.8648 0.6352 0.0000  6 Au 2.78-2.82, 1 Rh 2.80, 2 La 2.85
3 Rh 0.6352 0.1352 0.0000  6 Au 2.78-2.82, 1 Rh 2.80, 2 La 2.85
4 Rh 0.1352 0.3648 0.0000  6 Au 2.78-2.82, 1 Rh 2.80, 2 La 2.85
5 Au 0.1603 0.6603 0.5000  6 Rh 2.78-2.82
6 Au 0.6603 0.8397 0.5000  6 Rh 2.78-2.82
7 Au 0.8397 0.3397 0.5000  6 Rh 2.78-2.82
8 Au 0.3397 0.1603 0.5000  6 Rh 2.78-2.82
9 La 0.0000 0.0000 0.0000  4 Rh 2.85
10 La 0.5000 0.5000 0.0000  4 Rh 2.85

#R
A relaxed LaRh2Au2 crystal, computed with PBE.

Summary:
The space group is I4/mmm, No. 139.

Lattice parameters (Å, degrees): 4.0084 4.0084 7.0101 73.39 73.39 90.00
Closest atoms and distances in Å follow each position.
Element x y z (fractional)
1 Rh 0.7500 0.2500 0.5000  4 Au 2.73, 4 Rh 2.83
2 Rh 0.2500 0.7500 0.5000  4 Au 2.73, 4 Rh 2.83
3 Au 0.3949 0.3949 0.2101  1 Au 2.69, 4 Rh 2.73
4 Au 0.6051 0.6051 0.7899  1 Au 2.69, 4 Rh 2.73
5 La 0.0000 0.0000 0.0000  8 Au 3.14

Stability check: which of them is most stable? #Q.